Entry 1:
The following is a DFT calculation (PBE-GGA) of a relaxed structure of Th2SnBi.

Summary:
Crystal system: trigonal
E_form, eV/f.u.: -1.1
Volume, Å³/cell: 120.7

Cell and atoms, written as CIF:
```
data_Th2SnBi
_cell_length_a 11.1093
_cell_length_b 11.1093
_cell_length_c 11.1093
_cell_angle_alpha 18.51
_cell_angle_beta 18.51
_cell_angle_gamma 18.51
_symmetry_space_group_name_H-M 'P 1'
_symmetry_Int_Tables_number 1
_symmetry_space_group_name_Hall 'P 1'
loop_
_atom_site_label
_atom_site_type_symbol
_atom_site_fract_x
_atom_site_fract_y
_atom_site_fract_z
Th1 Th 0.2487 0.2487 0.2487
Th2 Th 0.7513 0.7513 0.7513
Sn1 Sn 0.5000 0.5000 0.5000
Bi1 Bi 0.0000 0.0000 0.0000
```

Entry 2:
The following is a DFT calculation (PBE-GGA) of a relaxed structure of Sr3CdBr2Cl6.

Summary:
Crystal system: monoclinic
Volume, Å³/cell: 399.7
Total DFT energy (no corrections), eV per cell: -44.3

Cell and atoms, written as CIF:
```
data_Sr3CdBr2Cl6
_cell_length_a 8.4347
_cell_length_b 8.4347
_cell_length_c 6.4674
_cell_angle_alpha 92.69
_cell_angle_beta 92.69
_cell_angle_gamma 60.46
_symmetry_space_group_name_H-M 'P 1'
_symmetry_Int_Tables_number 1
_symmetry_space_group_name_Hall 'P 1'
loop_
_atom_site_label
_atom_site_type_symbol
_atom_site_fract_x
_atom_site_fract_y
_atom_site_fract_z
Sr1 Sr 0.0000 0.0000 0.0000
Sr2 Sr 0.0000 0.5000 0.5000
Sr3 Sr 0.5000 0.0000 0.5000
Cd1 Cd 0.5000 0.5000 0.5000
Br1 Br 0.1831 0.1831 0.7923
Br2 Br 0.8169 0.8169 0.2077
Cl1 Cl 0.1868 0.6690 0.7286
Cl2 Cl 0.3310 0.8132 0.2714
Cl3 Cl 0.3420 0.3420 0.2845
Cl4 Cl 0.6580 0.6580 0.7155
Cl5 Cl 0.6690 0.1868 0.7286
Cl6 Cl 0.8132 0.3310 0.2714
```

Entry 3:
The following is a DFT calculation (PBE-GGA) of a relaxed structure of SrSmZn3.

Summary:
Crystal system: orthorhombic
E_form, eV/f.u.: -1.2
Volume, Å³/cell: 250.7

Cell and atoms, written as CIF:
```
data_SrSmZn3
_cell_length_a 13.9069
_cell_length_b 13.9069
_cell_length_c 4.5853
_cell_angle_alpha 90.00
_cell_angle_beta 90.00
_cell_angle_gamma 163.58
_symmetry_space_group_name_H-M 'P 1'
_symmetry_Int_Tables_number 1
_symmetry_space_group_name_Hall 'P 1'
loop_
_atom_site_label
_atom_site_type_symbol
_atom_site_fract_x
_atom_site_fract_y
_atom_site_fract_z
Sr1 Sr 0.0737 0.9263 0.7500
Sr2 Sr 0.9263 0.0737 0.2500
Sm1 Sm 0.2083 0.7917 0.2500
Sm2 Sm 0.7917 0.2083 0.7500
Zn1 Zn 0.3237 0.6763 0.2500
Zn2 Zn 0.3776 0.6224 0.7500
Zn3 Zn 0.4752 0.5248 0.7500
Zn4 Zn 0.5248 0.4752 0.2500
Zn5 Zn 0.6224 0.3776 0.2500
Zn6 Zn 0.6763 0.3237 0.7500
```

Entry 4:
The following is a DFT calculation (PBE-GGA) of a relaxed structure of TaReSb2.

Summary:
Crystal system: monoclinic
Volume, Å³/cell: 78.8
Total DFT energy (no corrections), eV per cell: -31.6

Cell and atoms, written as CIF:
```
data_TaReSb2
_cell_length_a 5.1960
_cell_length_b 5.1960
_cell_length_c 5.2888
_cell_angle_alpha 110.32
_cell_angle_beta 110.32
_cell_angle_gamma 36.35
_symmetry_space_group_name_H-M 'P 1'
_symmetry_Int_Tables_number 1
_symmetry_space_group_name_Hall 'P 1'
loop_
_atom_site_label
_atom_site_type_symbol
_atom_site_fract_x
_atom_site_fract_y
_atom_site_fract_z
Ta1 Ta 0.0000 0.0000 0.0000
Re1 Re 0.2972 0.2972 0.6275
Sb1 Sb 0.5519 0.5519 0.5138
Sb2 Sb 0.7626 0.7626 0.1637
```